First-principles (PBE-GGA) data for a relaxed La3Ga9Ni2 crystal, as listed in Alexandria via LeMat-Bulk.

extended XYZ file:
```
14
Lattice="4.341 0.000 0.000 2.170 8.034 -0.015 2.170 1.806 7.829" Properties=species:S:1:pos:R:3 pbc="T T T"
La 0.000 0.000 0.000
La 4.341 3.128 2.483
La 4.341 6.713 5.330
Ga 2.170 4.920 3.907
Ga 6.511 9.086 5.487
Ga 2.170 0.754 2.326
Ga 6.511 7.404 7.606
Ga 2.170 2.436 0.207
Ga 6.511 7.523 3.129
Ga 2.170 2.317 4.684
Ga 6.511 4.752 6.618
Ga 2.170 5.088 1.195
Ni 4.341 3.532 5.655
Ni 4.341 6.309 2.158
```

Calculated values
Spin magnetization   0.000 μB per atom
ΔH_f (0 K)   -7.9 eV per formula unit
DOS at the Fermi energy   0.42 states/eV/atom

First-principles (PBE-GGA) data for a relaxed LaGa6Ni2 crystal, as listed in Alexandria via LeMat-Bulk.

extended XYZ file:
```
18
Lattice="-3.350 6.046 -4.376 -2.638 -1.435 -7.610 -8.022 -0.070 -1.603" Properties=species:S:1:pos:R:3 pbc="T T T"
La -7.005 2.270 -6.795
La -10.507 3.406 -10.192
Ga -7.561 0.990 -3.955
Ga -6.448 3.551 -9.635
Ga -4.616 0.243 -7.241
Ga -9.005 0.205 -8.118
Ga -3.042 2.195 -5.749
Ga -1.847 2.845 -2.302
Ga -9.394 4.298 -6.349
Ga -3.963 0.075 -1.046
Ga -5.480 2.813 -3.028
Ga -5.158 -0.575 -4.493
Ga -5.005 4.336 -5.472
Ga -1.525 -0.543 -3.767
Ni -1.751 0.568 -1.699
Ni -3.070 -0.150 -5.504
Ni -5.762 0.532 -2.500
Ni -3.426 3.591 -3.887
```

Calculated values
Spin magnetization   0.000 μB per atom
ΔH_f (0 K)   -0.5 eV per formula unit
DOS at the Fermi energy   0.57 states/eV/atom

First-principles (PBE-GGA) data for a relaxed LaGaNi2 crystal, as listed in Alexandria via LeMat-Bulk.

extended XYZ file:
```
8
Lattice="-3.845 -2.321 -0.902 1.234 -3.217 3.018 -5.110 1.260 6.908" Properties=species:S:1:pos:R:3 pbc="T T T"
Ni -2.741 -1.064 1.724
Ni -1.772 -2.460 3.316
Ni -4.559 -1.789 6.590
Ni -6.369 -3.244 6.416
Ga -1.305 -2.769 1.058
Ga -2.591 -2.363 5.492
La 0.000 0.000 0.000
La -5.130 -1.915 3.532
```

Calculated values
Spin magnetization   0.000 μB per atom
ΔH_f (0 K)   -0.9 eV per formula unit
DOS at the Fermi energy   0.83 states/eV/atom

First-principles (PBE-GGA) data for a relaxed La4Ga16Ni3 crystal, as listed in Alexandria via LeMat-Bulk.

extended XYZ file:
```
23
Lattice="6.248 0.000 0.000 0.000 6.248 0.000 0.000 0.000 11.418" Properties=species:S:1:pos:R:3 pbc="T T T"
La 3.124 0.000 9.185
La 0.000 3.124 2.233
La 0.000 3.124 9.185
La 3.124 0.000 2.233
Ga 0.000 0.000 8.796
Ga 1.779 1.779 0.000
Ga 3.124 3.124 9.178
Ga 4.469 1.779 0.000
Ga 3.124 3.124 2.240
Ga 4.469 4.469 0.000
Ga 0.000 0.000 2.622
Ga 4.662 4.662 7.007
Ga 4.662 1.586 4.411
Ga 1.586 1.586 7.007
Ga 1.586 4.662 4.411
Ga 1.779 4.469 0.000
Ga 4.662 4.662 4.411
Ga 4.662 1.586 7.007
Ga 1.586 1.586 4.411
Ga 1.586 4.662 7.007
Ni 0.000 3.124 5.709
Ni 0.000 0.000 0.000
Ni 3.124 0.000 5.709
```

Calculated values
Spin magnetization   0.000 μB per atom
ΔH_f (0 K)   -11.7 eV per formula unit
DOS at the Fermi energy   0.34 states/eV/atom

First-principles (PBE-GGA) data for a relaxed LaGa4Ni crystal, as listed in Alexandria via LeMat-Bulk.

extended XYZ file:
```
6
Lattice="4.501 0.000 0.000 0.000 4.501 0.000 0.000 0.000 6.971" Properties=species:S:1:pos:R:3 pbc="T T T"
La 0.000 0.000 0.000
Ga 2.251 2.251 5.783
Ga 2.251 2.251 1.188
Ga 2.251 0.000 3.485
Ga 0.000 2.251 3.485
Ni 2.251 2.251 3.485
```

Calculated values
Spin magnetization   0.000 μB per atom
ΔH_f (0 K)   -1.0 eV per formula unit
DOS at the Fermi energy   0.56 states/eV/atom

First-principles (PBE-GGA) data for a relaxed La3Ga8Ni3 crystal, as listed in Alexandria via LeMat-Bulk.

extended XYZ file:
```
14
Lattice="4.336 0.000 0.000 2.168 7.917 -0.235 2.168 1.929 7.682" Properties=species:S:1:pos:R:3 pbc="T T T"
La 4.336 4.923 3.724
La 4.336 1.772 1.341
La 4.336 8.074 6.107
Ga 4.336 2.048 5.112
Ga 4.336 7.799 2.336
Ga 4.336 5.476 0.579
Ga 4.336 4.371 6.868
Ga 6.504 7.378 3.841
Ga 2.168 2.468 3.606
Ga 6.504 5.705 6.054
Ga 2.168 4.142 1.393
Ni 2.168 0.000 0.000
Ni 2.168 6.621 1.479
Ni 2.168 3.225 5.969
```

Calculated values
ΔE to the lowest computed polymorph   0.0000 eV/atom
Spin magnetization   0.000 μB per atom
ΔH_f (0 K)   -7.8 eV per formula unit
DOS at the Fermi energy   0.51 states/eV/atom